This record from Alexandria describes a geometry-optimized Er5Ge2Sb2 structure. The functional is PBE.

Computed properties:
N(E_F) ... 0.6462 states/eV per atom
Total DFT energy (no corrections) ... -97.82 eV for the cell shown
Calculated volume ... 25.8 A^3/atom
SG ... Cmce

Cell lengths 8.4715, 8.4715, 7.8748 Å; angles 90.00, 90.00, 124.78 degrees
With the nearest neighbours (Å) after each atom.
Fractional positions:
Ge 0.1405 0.1405 0.6396  8 Er 2.90-3.05, 1 Ge 3.11
Ge 0.8595 0.8595 0.3604  8 Er 2.90-3.05, 1 Ge 3.11
Ge 0.6405 0.6405 0.8604  8 Er 2.90-3.05, 1 Ge 3.11
Ge 0.3595 0.3595 0.1396  8 Er 2.90-3.05, 1 Ge 3.11
Er 0.5000 0.5000 0.5000  4 Ge 3.03-3.04, 2 Sb 3.07
Er 0.7105 0.9638 0.6623  3 Ge 2.90-3.05, 3 Sb 3.11-3.18
Er 0.7895 0.5362 0.1623  3 Ge 2.90-3.05, 3 Sb 3.11-3.18
Er 0.9638 0.7105 0.6623  3 Ge 2.90-3.05, 3 Sb 3.11-3.18
Er 0.2895 0.0362 0.3377  3 Ge 2.90-3.05, 3 Sb 3.11-3.18
Er 0.0000 0.0000 0.0000  4 Ge 3.03-3.04, 2 Sb 3.07
Er 0.5362 0.7895 0.1623  3 Ge 2.90-3.05, 3 Sb 3.11-3.18
Er 0.0362 0.2895 0.3377  3 Ge 2.90-3.05, 3 Sb 3.11-3.18
Er 0.2105 0.4638 0.8377  3 Ge 2.90-3.05, 3 Sb 3.11-3.18
Er 0.4638 0.2105 0.8377  3 Ge 2.90-3.05, 3 Sb 3.11-3.18
Sb 0.7953 0.2047 0.0000  7 Er 3.07-3.18
Sb 0.7047 0.2953 0.5000  7 Er 3.07-3.18
Sb 0.2953 0.7047 0.5000  7 Er 3.07-3.18
Sb 0.2047 0.7953 0.0000  7 Er 3.07-3.18

This record from Alexandria describes a geometry-optimized CoTc structure. The functional is PBE.

Computed properties:
N(E_F) ... 1.0274 states/eV per atom
Energy of formation from the pure elements ... 0.052 eV per atom
Calculated volume ... 12.5 A^3/atom
Relative energy among the computed polymorphs ... 0.099 eV per atom
SG ... C2/m

Cell lengths 4.5258, 2.6156, 5.0353 Å; angles 74.95, 61.27, 90.00 degrees
With the nearest neighbours (Å) after each atom.
Fractional positions:
Tc 0.4905 0.4935 0.0129  7 Co 2.54-2.61, 5 Tc 2.57-2.70
Tc 0.5929 0.2565 0.4871  7 Co 2.54-2.61, 5 Tc 2.57-2.70
Co 0.0832 0.7475 0.5051  7 Tc 2.54-2.61, 5 Co 2.58-2.69
Co 0.0001 0.0025 0.9949  7 Tc 2.54-2.61, 5 Co 2.58-2.69

This record from Alexandria describes a geometry-optimized TbDyHoZr structure. The functional is PBE.

Computed properties:
N(E_F) ... 1.6501 states/eV per atom
Energy of formation from the pure elements ... 0.216 eV per atom
Calculated volume ... 29.3 A^3/atom
SG ... F-43m

Cell lengths 5.4952, 5.4952, 5.4952 Å; angles 60.00, 60.00, 60.00 degrees
With the nearest neighbours (Å) after each atom.
Fractional positions:
Tb 0.7500 0.7500 0.7500  4 Ho 3.37, 4 Dy 3.37
Zr 0.2500 0.2500 0.2500  4 Ho 3.37, 4 Dy 3.37
Dy 0.5000 0.5000 0.5000  4 Zr 3.37, 4 Tb 3.37
Ho 0.0000 0.0000 0.0000  4 Tb 3.37, 4 Zr 3.37

This record from Alexandria describes a geometry-optimized Na2Sm3HoSe6 structure. The functional is PBE.

Computed properties:
N(E_F) ... 0.2754 states/eV per atom
Total DFT energy (no corrections) ... -62.98 eV for the cell shown
Calculated volume ... 25.6 A^3/atom
SG ... C2/m

Cell lengths 7.2040, 7.2040, 7.2371 Å; angles 99.52, 99.52, 119.95 degrees
With the nearest neighbours (Å) after each atom.
Fractional positions:
Se 0.2421 0.2421 0.7493  1 Ho 2.90, 3 Sm 2.95-2.99, 2 Na 2.96
Se 0.5915 0.9181 0.7542  1 Ho 2.89, 3 Sm 2.94-2.97, 2 Na 2.95-2.96
Se 0.0819 0.4085 0.2458  1 Ho 2.89, 3 Sm 2.94-2.97, 2 Na 2.95-2.96
Se 0.9181 0.5915 0.7542  1 Ho 2.89, 3 Sm 2.94-2.97, 2 Na 2.95-2.96
Se 0.7579 0.7579 0.2507  1 Ho 2.90, 3 Sm 2.95-2.99, 2 Na 2.96
Se 0.4085 0.0819 0.2458  1 Ho 2.89, 3 Sm 2.94-2.97, 2 Na 2.95-2.96
Ho 0.0000 0.0000 0.0000  6 Se 2.89-2.90
Sm 0.1701 0.8299 0.5000  6 Se 2.94-2.97
Sm 0.5000 0.5000 0.5000  6 Se 2.95-2.99
Sm 0.8299 0.1701 0.5000  6 Se 2.94-2.97
Na 0.6656 0.3344 0.0000  6 Se 2.95-2.96
Na 0.3344 0.6656 0.0000  6 Se 2.95-2.96

This record from Alexandria describes a geometry-optimized VCo3Hg structure. The functional is PBE.

Computed properties:
N(E_F) ... 0.9266 states/eV per atom
Energy of formation from the pure elements ... 1.003 eV per atom
Calculated volume ... 15.4 A^3/atom
Relative energy among the computed polymorphs ... 0.000 eV per atom
SG ... Pm-3m

Cell lengths 4.2498, 4.2498, 4.2498 Å; angles 90.00, 90.00, 90.00 degrees
With the nearest neighbours (Å) after each atom.
Fractional positions:
Co 0.0000 0.0000 0.5000  2 V 2.12
Co 0.0000 0.5000 0.0000  2 V 2.12
Co 0.5000 0.0000 0.0000  2 V 2.12
V 0.0000 0.0000 0.0000  6 Co 2.12
Hg 0.5000 0.5000 0.5000  12 Co 3.01

This record from Alexandria describes a geometry-optimized LaMn2Pt2 structure. The functional is PBE.

Computed properties:
N(E_F) ... 0.6126 states/eV per atom
Energy of formation from the pure elements ... -0.557 eV per atom
Calculated volume ... 20.1 A^3/atom
Relative energy among the computed polymorphs ... 0.000 eV per atom
SG ... I4/mmm

Cell lengths 4.1115, 4.1115, 6.6265 Å; angles 71.93, 71.93, 90.00 degrees
With the nearest neighbours (Å) after each atom.
Fractional positions:
Pt 0.6142 0.6142 0.7716  4 Mn 2.62, 1 Pt 2.72
Pt 0.3858 0.3858 0.2284  4 Mn 2.62, 1 Pt 2.72
Mn 0.2500 0.7500 0.5000  4 Pt 2.62, 4 Mn 2.91
Mn 0.7500 0.2500 0.5000  4 Pt 2.62, 4 Mn 2.91
La 0.0000 0.0000 0.0000  8 Pt 3.21